[1]
6
Lattice="-2.7407 -4.6679 -1.0137 2.6614 -4.3679 -2.0414 0.8469 -4.4317 3.1579" Properties=species:S:1:pos:R:3 comment="PBE-GGA AcLaRu4, optimized geometry" energy_ev_per_fu=-46.4 magmom_total_mub_per_fu=0.00 pbc="T T T"
La 0.0000 0.0000 0.0000
Ru 0.4799 -8.4218 0.0642
Ru 1.8541 -6.0814 0.5725
Ru 0.0553 -6.1999 -1.5191
Ru -0.8544 -6.2318 1.0877
Ac 0.1919 -3.3669 0.0257

[2]
4
Lattice="-1.1653 -1.3700 -4.6804 -4.6728 -1.0637 1.4747 -0.9188 3.0968 -0.6777" Properties=species:S:1:pos:R:3 comment="PBE-GGA In3Ir, optimized geometry" energy_ev_per_fu=-15.9 magmom_total_mub_per_fu=0.00 pbc="T T T"
In -1.0420 0.8634 -2.6790
In -2.9190 -1.2168 -1.6029
In 0.0000 0.0000 0.0000
Ir -2.7958 1.0165 0.3985

[3]
4
Lattice="3.2341 0.0000 0.0000 0.0000 3.2341 0.0000 0.0000 0.0000 6.3869" Properties=species:S:1:pos:R:3 comment="PBE-GGA ZrMo2P, optimized geometry" energy_ev_per_fu=-36.6 magmom_total_mub_per_fu=0.00 pbc="T T T"
Zr 1.6171 1.6171 4.7164
Mo 1.6171 1.6171 1.6976
Mo 0.0000 0.0000 0.2433
P 0.0000 0.0000 2.9229

[4]
16
Lattice="5.0033 0.0000 0.0000 0.0000 5.0033 0.0000 0.0000 0.0000 20.0217" Properties=species:S:1:pos:R:3 comment="PBE-GGA Pm3YEr12, optimized geometry" energy_ev_per_fu=-75.1 magmom_total_mub_per_fu=0.00 pbc="T T T"
Er 2.5016 0.0000 17.5321
Er 2.5016 2.5016 10.0108
Er 2.5016 2.5016 4.9903
Er 0.0000 2.5016 17.5321
Er 0.0000 2.5016 2.4896
Er 2.5016 0.0000 2.4896
Er 2.5016 2.5016 0.0000
Er 2.5016 0.0000 12.5193
Er 0.0000 2.5016 12.5193
Er 2.5016 0.0000 7.5023
Er 0.0000 2.5016 7.5023
Er 2.5016 2.5016 15.0313
Y 0.0000 0.0000 0.0000
Pm 0.0000 0.0000 5.0016
Pm 0.0000 0.0000 10.0108
Pm 0.0000 0.0000 15.0201

[5]
5
Lattice="12.3113 -1.4074 -0.0205 12.3113 1.4074 -0.0205 12.1544 0.0000 2.4122" Properties=species:S:1:pos:R:3 comment="PBE-GGA Na2Pt3, optimized geometry" magmom_total_mub_per_fu=0.22 polymorph_energy_ev_per_atom=0.000 pbc="T T T"
Pt 0.0000 0.0000 0.0000
Pt 7.3274 0.0000 0.4724
Pt 29.4496 0.0000 1.8988
Na 14.7322 0.0000 0.9499
Na 22.0448 0.0000 1.4214

[6]
4
Lattice="3.1229 0.0000 0.0000 0.0000 3.1229 0.0000 0.0000 0.0000 8.1263" Properties=species:S:1:pos:R:3 comment="PBE-GGA ZrTiCdAg, optimized geometry" magmom_total_mub_per_fu=0.00 polymorph_energy_ev_per_atom=0.000 pbc="T T T"
Ag 1.5614 1.5614 6.5664
Zr 1.5614 1.5614 2.7658
Cd 0.0000 0.0000 0.4178
Ti 0.0000 0.0000 4.7530

[7]
8
Lattice="4.0207 0.0000 0.0000 -2.0104 3.4820 0.0000 0.0000 0.0000 13.9043" Properties=species:S:1:pos:R:3 comment="PBE-GGA TbYSe2, optimized geometry" formation_energy_uncorrected_ev_per_fu=-7.04 magmom_total_mub_per_fu=0.00 polymorph_energy_ev_per_atom=0.009 pbc="T T T"
Se 0.0000 2.3214 1.7092
Se 2.0104 1.1607 12.1951
Se 0.0000 2.3214 5.2429
Se 2.0104 1.1607 8.6614
Tb 0.0000 0.0000 0.0000
Tb 0.0000 0.0000 6.9521
Y 2.0104 1.1607 3.4761
Y 0.0000 2.3214 10.4282

[8]
8
Lattice="6.2191 0.0000 0.0000 0.0000 6.2191 0.0000 3.1095 3.1095 2.3923" Properties=species:S:1:pos:R:3 comment="PBE-GGA FeCoNi2, optimized geometry" energy_ev_per_fu=-24.3 magmom_total_mub_per_fu=0.00 pbc="T T T"
Fe 3.1095 6.2191 1.1962
Fe 3.1095 3.1095 0.0000
Ni 4.6274 1.5548 0.5981
Ni 1.5917 4.6643 0.5981
Ni 4.6643 4.7012 1.7942
Ni 7.7738 7.7369 1.7942
Co 0.0000 0.0000 0.0000
Co 6.2191 3.1095 1.1962

[9]
4
Lattice="-1.5498 -2.3124 -1.0917 0.2547 -0.7417 -2.8855 4.3461 -4.8892 0.0910" Properties=species:S:1:pos:R:3 comment="PBE-GGA Cr2AuN, optimized geometry" formation_energy_uncorrected_ev_per_fu=-0.69 magmom_total_mub_per_fu=2.28 pbc="T T T"
Au 1.5255 -3.9716 -1.9431
Cr 2.7881 -6.3624 -2.7664
Cr 0.2629 -1.5808 -1.1198
N 0.0000 0.0000 0.0000

[10]
4
Lattice="-1.1482 1.0466 3.7481 -3.7672 -0.8207 1.2637 0.1128 -4.9903 3.6318" Properties=species:S:1:pos:R:3 comment="PBE-GGA SrFeAs2, optimized geometry" energy_ev_per_fu=-21.3 magmom_total_mub_per_fu=1.05 pbc="T T T"
As -0.0713 -4.4605 3.4277
As -2.2172 -2.9120 4.5260
Sr -1.2007 -1.1911 2.1609
Fe -3.6020 -3.5733 6.4828

[11]
5
Lattice="5.4365 0.0000 0.0000 0.0000 5.4365 0.0000 0.0000 0.0000 5.3912" Properties=species:S:1:pos:R:3 comment="PBE-GGA RbLaS2Cl, optimized geometry" formation_energy_uncorrected_ev_per_fu=-1.71 magmom_total_mub_per_fu=0.40 polymorph_energy_ev_per_atom=1.193 pbc="T T T"
S 0.0000 2.7182 0.0000
S 2.7182 0.0000 0.0000
La 2.7182 2.7182 2.6956
Rb 0.0000 0.0000 0.0000
Cl 0.0000 0.0000 2.6956

[12]
4
Lattice="-3.0209 -1.2291 -1.6582 2.0577 -2.2211 -2.1023 1.6138 -6.1409 1.6118" Properties=species:S:1:pos:R:3 comment="PBE-GGA In2ReSi, optimized geometry" formation_energy_uncorrected_ev_per_fu=2.31 magmom_total_mub_per_fu=0.00 pbc="T T T"
In 2.0567 -2.2223 -2.0996
In 1.8367 -4.1798 -0.2480
Re -0.5926 -2.7050 -0.9517
Si 1.2431 -6.8860 -1.1970